Mg3Zn4 (PBE-GGA, relaxed); size of the total moment = 0.00 μB per formula unit
1.0
2.855 -4.944 0.000
2.855 4.944 0.000
0.000 0.000 4.830
Zn Mg
4 3
Direct
0.333 0.667 0.500
0.000 0.000 0.253
0.667 0.333 0.500
0.000 0.000 0.747
0.000 0.500 0.000
0.500 0.500 0.000
0.500 0.000 0.000

***

Mg3Zn (PBE-GGA, relaxed); size of the total moment = 0.00 μB per formula unit
1.0
-5.525 -1.368 -2.187
1.361 -4.704 -0.498
-1.719 -1.025 4.985
Mg Zn
6 2
Direct
0.751 0.500 0.833
0.000 0.500 0.353
0.500 0.000 0.647
0.249 0.500 0.833
0.749 0.000 0.167
0.251 0.000 0.167
0.000 0.000 0.674
0.500 0.500 0.326

***

Mg3Zn (PBE-GGA, relaxed); size of the total moment = 0.00 μB per formula unit
1.0
4.805 0.000 0.000
-2.403 4.162 0.000
0.000 0.000 8.362
Zn Mg
2 6
Direct
0.667 0.333 0.750
0.333 0.667 0.250
0.667 0.333 0.076
0.000 0.000 0.250
0.333 0.667 0.576
0.333 0.667 0.924
0.667 0.333 0.424
0.000 0.000 0.750

***

Mg3Zn (PBE-GGA, relaxed); size of the total moment = 0.00 μB per formula unit
1.0
-7.724 -0.067 5.104
-2.102 -0.203 -3.184
9.775 -2.219 -6.313
Zn Mg
1 3
Direct
0.000 0.000 0.000
0.500 0.000 0.000
0.813 0.500 0.043
0.187 0.500 0.957

***

Mg5Zn3 (PBE-GGA, relaxed); size of the total moment = 0.00 μB per formula unit
1.0
-1.490 5.689 -0.305
-2.573 -2.210 -4.813
-3.763 -0.856 2.405
Zn Mg
3 5
Direct
0.500 0.500 0.000
0.779 0.221 0.500
0.221 0.779 0.500
0.000 0.000 0.000
0.500 0.000 0.000
0.000 0.500 0.000
0.716 0.716 0.500
0.284 0.284 0.500

***

MgZn (PBE-GGA, relaxed); size of the total moment = 0.00 μB per formula unit
1.0
5.550 0.203 0.120
2.906 4.732 0.121
2.885 1.684 4.383
Zn Mg
3 3
Direct
0.500 0.334 0.000
0.000 0.834 0.000
0.500 0.834 0.500
0.880 0.213 0.381
0.120 0.454 0.619
0.500 0.833 0.000

***

Table of theoretical density (g/cm3), in record order: 4.07 2.85 2.75 2.82 3.42 4.05
Table of VASP energy (eV/atom), in record order: -1.315 -1.550 -1.533 -1.537 -1.522 -1.505